Computed, not measured: a relaxed RbBeCd2S crystal at the PBE level of DFT.

a b c (Å): 5.326 6.170 5.326
angles (deg): 90.00 90.00 90.00
Positions (direct):
Rb  0.000  0.500  0.000
Cd  0.000  0.000  0.500
Cd  0.500  0.000  0.000
Be  0.500  0.500  0.500
S  0.000  0.000  0.000

Values from the calculation:
**Electronic total energy**: -1.60 eV/atom
**DOS at the Fermi energy**: 5.26 states/eV/f.u.
**ΔE_f (raw)**: 0.526 eV/atom
**M_tot**: 0.0 μB/cell

Computed, not measured: a relaxed ReIr3C crystal at the PBE level of DFT.

a b c (Å): 4.086 4.086 4.086
angles (deg): 90.00 90.00 90.00
Positions (direct):
Ir  0.000  0.500  0.000
Ir  0.000  0.000  0.500
Ir  0.500  0.000  0.000
Re  0.500  0.500  0.500
C  0.000  0.000  0.000

Values from the calculation:
**Electronic total energy**: -8.83 eV/atom
**DOS at the Fermi energy**: 4.98 states/eV/f.u.
**M_tot**: 1.7 μB/cell
**Formation energy**: 0.817 eV per atom

Computed, not measured: a relaxed CeMn6 crystal at the PBE level of DFT.

a b c (Å): 4.695 7.890 10.234
angles (deg): 90.00 90.00 90.00
Positions (direct):
Mn  0.250  0.142  0.150
Mn  0.250  0.557  0.587
Mn  0.750  0.858  0.850
Mn  0.750  0.097  0.475
Mn  0.250  0.903  0.525
Mn  0.750  0.943  0.087
Mn  0.750  0.597  0.025
Mn  0.511  0.068  0.693
Mn  0.750  0.358  0.650
Mn  0.250  0.310  0.743
Mn  0.750  0.690  0.257
Mn  0.489  0.932  0.307
Mn  0.250  0.642  0.350
Mn  0.250  0.403  0.975
Mn  0.250  0.810  0.757
Mn  0.989  0.568  0.807
Mn  0.011  0.432  0.193
Mn  0.511  0.568  0.807
Mn  0.250  0.057  0.913
Mn  0.750  0.190  0.243
Mn  0.989  0.068  0.693
Mn  0.489  0.432  0.193
Mn  0.011  0.932  0.307
Mn  0.750  0.443  0.413
Ce  0.750  0.745  0.559
Ce  0.250  0.255  0.441
Ce  0.250  0.755  0.059
Ce  0.750  0.245  0.941

Values from the calculation:
**Electronic total energy**: -8.60 eV/atom
**DOS at the Fermi energy**: 10.01 states/eV/f.u.
**M_tot**: 11.8 μB/cell
**Formation energy**: 0.105 eV per atom

Computed, not measured: a relaxed K7Hg31 crystal at the PBE level of DFT.

a b c (Å): 11.216 11.216 10.552
angles (deg): 90.00 90.00 120.00
Positions (direct):
Hg  0.492  0.984  0.313
Hg  0.396  0.060  0.000
Hg  0.664  0.060  0.000
Hg  0.492  0.508  0.687
Hg  0.940  0.336  0.000
Hg  0.175  0.825  0.171
Hg  0.492  0.508  0.313
Hg  0.000  0.000  0.641
Hg  0.396  0.336  0.000
Hg  0.294  0.147  0.262
Hg  0.333  0.667  0.354
Hg  0.853  0.706  0.262
Hg  0.664  0.604  0.000
Hg  0.000  0.000  0.359
Hg  0.016  0.508  0.687
Hg  0.471  0.236  0.500
Hg  0.492  0.984  0.687
Hg  0.175  0.350  0.171
Hg  0.175  0.825  0.829
Hg  0.650  0.825  0.171
Hg  0.294  0.147  0.738
Hg  0.853  0.147  0.738
Hg  0.333  0.667  0.646
Hg  0.764  0.529  0.500
Hg  0.764  0.236  0.500
Hg  0.853  0.147  0.262
Hg  0.940  0.604  0.000
Hg  0.650  0.825  0.829
Hg  0.016  0.508  0.313
Hg  0.853  0.706  0.738
Hg  0.175  0.350  0.829
K  0.000  0.000  0.000
K  0.667  0.333  0.203
K  0.165  0.330  0.500
K  0.667  0.333  0.797
K  0.670  0.835  0.500
K  0.165  0.835  0.500
K  0.333  0.667  0.000

Values from the calculation:
**Electronic total energy**: -0.63 eV/atom
**DOS at the Fermi energy**: 14.13 states/eV/f.u.
**M_tot**: 0.0 μB/cell
**Formation energy**: -0.182 eV per atom

Computed, not measured: a relaxed BaTc3I crystal at the PBE level of DFT.

a b c (Å): 5.337 5.337 5.337
angles (deg): 90.00 90.00 90.00
Positions (direct):
Tc  0.000  0.000  0.500
Tc  0.000  0.500  0.000
Tc  0.500  0.000  0.000
I  0.500  0.500  0.500
Ba  0.000  0.000  0.000

Values from the calculation:
**Electronic total energy**: -4.09 eV/atom
**DOS at the Fermi energy**: 8.85 states/eV/f.u.
**ΔE_f (raw)**: 2.824 eV/atom
**M_tot**: 9.3 μB/cell

Computed, not measured: a relaxed FeCu2Ir crystal at the PBE level of DFT.

a b c (Å): 4.488 4.488 4.488
angles (deg): 130.46 130.50 72.65
Positions (direct):
Cu  0.750  0.250  0.500
Cu  0.000  0.000  0.000
Ir  0.250  0.750  0.500
Fe  0.500  0.500  0.000

Values from the calculation:
**Electronic total energy**: -6.31 eV/atom
**DOS at the Fermi energy**: 3.04 states/eV/f.u.
**M_tot**: 3.6 μB/cell
**Formation energy**: 0.069 eV per atom

Computed, not measured: a relaxed PaPRuO crystal at the PBE level of DFT.

a b c (Å): 3.954 3.954 7.744
angles (deg): 90.00 90.00 90.00
Positions (direct):
Ru  0.500  0.500  0.000
Ru  0.000  0.000  0.000
O  0.500  0.500  0.500
O  0.000  0.000  0.500
P  0.500  0.000  0.162
P  0.000  0.500  0.838
Pa  0.500  0.000  0.669
Pa  0.000  0.500  0.331

Values from the calculation:
**Electronic total energy**: -9.26 eV/atom
**DOS at the Fermi energy**: 1.10 states/eV/f.u.
**ΔE_f (raw)**: -1.980 eV/atom
**M_tot**: 0.0 μB/cell

Computed, not measured: a relaxed AlCdPb2 crystal at the PBE level of DFT.

a b c (Å): 11.603 11.603 11.603
angles (deg): 16.36 16.36 16.36
Positions (direct):
Cd  0.750  0.750  0.750
Pb  0.997  0.997  0.997
Pb  0.503  0.503  0.503
Al  0.250  0.250  0.250

Values from the calculation:
**Electronic total energy**: -2.84 eV/atom
**DOS at the Fermi energy**: 1.02 states/eV/f.u.
**M_tot**: 0.0 μB/cell
**Formation energy**: 0.178 eV per atom